Entry 1:
! PBE-GGA LiAcAlSi2, optimized geometry; values from VASP
&SYSTEM
  ibrav = 0, nat = 5, ntyp = 4
/
ATOMIC_SPECIES
Si 28.09 Si.upf
Ac 227.00 Ac.upf
Li 6.94 Li.upf
Al 26.98 Al.upf
CELL_PARAMETERS angstrom
4.3329 0.0000 0.0000
0.0000 4.3329 0.0000
-2.1664 -2.1664 5.4281
ATOMIC_POSITIONS crystal
Si 0.6144 0.6144 0.2289
Si 0.3856 0.3856 0.7711
Ac 0.0000 0.0000 0.0000
Li 0.7500 0.2500 0.5000
Al 0.2500 0.7500 0.5000
! formation energy (no corrections)	-0.46	eV/atom
! raw total energy	-4.577	eV/atom
! M_tot	0.00	μB/f.u.

=====

Entry 2:
! PBE-GGA Li4Ac2AlSi3, optimized geometry; values from VASP
&SYSTEM
  ibrav = 0, nat = 10, ntyp = 4
/
ATOMIC_SPECIES
Li 6.94 Li.upf
Si 28.09 Si.upf
Ac 227.00 Ac.upf
Al 26.98 Al.upf
CELL_PARAMETERS angstrom
4.3915 0.0000 0.0000
0.0000 4.3915 0.0000
0.0000 0.0000 10.7853
ATOMIC_POSITIONS crystal
Li 0.5000 0.0000 0.6358
Li 0.0000 0.5000 0.3642
Li 0.0000 0.0000 0.0000
Li 0.5000 0.5000 0.0000
Si 0.5000 0.0000 0.8713
Si 0.0000 0.0000 0.5000
Si 0.0000 0.5000 0.1287
Ac 0.0000 0.5000 0.7634
Ac 0.5000 0.0000 0.2366
Al 0.5000 0.5000 0.5000
! formation energy (no corrections)	-0.31	eV/atom
! raw total energy	-3.897	eV/atom
! M_tot	0.00	μB/f.u.

=====

Entry 3:
! PBE-GGA LiAcAlSn2, optimized geometry; values from VASP
&SYSTEM
  ibrav = 0, nat = 5, ntyp = 4
/
ATOMIC_SPECIES
Al 26.98 Al.upf
Ac 227.00 Ac.upf
Sn 118.71 Sn.upf
Li 6.94 Li.upf
CELL_PARAMETERS angstrom
4.5751 0.0000 0.0000
0.0000 4.5751 0.0000
-2.2876 -2.2876 6.1656
ATOMIC_POSITIONS crystal
Al 0.7500 0.2500 0.5000
Ac 0.0000 0.0000 0.0000
Sn 0.3791 0.3791 0.7582
Sn 0.6209 0.6209 0.2418
Li 0.2500 0.7500 0.5000
! DFT formation energy	-2.27	eV per formula unit
! raw total energy	-4.008	eV/atom
! M_tot	0.00	μB/f.u.

=====

Entry 4:
! PBE-GGA SrLiAcAl, optimized geometry; values from VASP
&SYSTEM
  ibrav = 0, nat = 4, ntyp = 4
/
ATOMIC_SPECIES
Al 26.98 Al.upf
Sr 87.62 Sr.upf
Li 6.94 Li.upf
Ac 227.00 Ac.upf
CELL_PARAMETERS angstrom
-4.0799 -0.3722 3.9220
0.5988 -3.5438 4.3873
0.8786 2.0607 5.2103
ATOMIC_POSITIONS crystal
Al 0.5000 0.5000 0.5000
Sr 0.2500 0.2500 0.2500
Li 0.0000 0.0000 0.0000
Ac 0.7500 0.7500 0.7500
! DFT formation energy	-0.33	eV per formula unit
! raw total energy	-2.944	eV/atom
! M_tot	0.00	μB/f.u.

=====

Entry 5:
! PBE-GGA Li2AcAlTe4, optimized geometry; values from VASP
&SYSTEM
  ibrav = 0, nat = 16, ntyp = 4
/
ATOMIC_SPECIES
Te 127.60 Te.upf
Li 6.94 Li.upf
Ac 227.00 Ac.upf
Al 26.98 Al.upf
CELL_PARAMETERS angstrom
8.7709 0.0778 -0.3719
0.0716 8.7709 -0.3720
-4.6210 -4.6242 6.6299
ATOMIC_POSITIONS crystal
Te 0.7167 0.2419 0.9793
Te 0.2581 0.7832 0.5207
Te 0.2660 0.2343 0.4542
Te 0.7419 0.2167 0.4793
Te 0.7340 0.7657 0.5459
Te 0.2832 0.7581 0.0207
Te 0.2657 0.2341 0.0458
Te 0.7343 0.7660 0.9542
Li 0.5000 0.5000 0.0000
Li 0.5000 0.0000 0.0000
Li 0.5000 0.0000 0.5000
Li 0.0000 0.0000 0.5000
Ac 0.0000 0.5000 0.0000
Ac 0.0000 0.5000 0.5000
Al 0.5000 0.5000 0.5000
Al 0.0001 0.9999 0.0000
! formation energy (no corrections)	-0.90	eV/atom
! raw total energy	-3.926	eV/atom
! M_tot	0.00	μB/f.u.

=====

Entry 6:
! PBE-GGA LiAcThAl, optimized geometry; values from VASP
&SYSTEM
  ibrav = 0, nat = 4, ntyp = 4
/
ATOMIC_SPECIES
Th 232.04 Th.upf
Li 6.94 Li.upf
Al 26.98 Al.upf
Ac 227.00 Ac.upf
CELL_PARAMETERS angstrom
-3.2301 -4.2828 -0.7193
1.9457 -5.0032 0.6897
-1.5696 -2.9511 4.2569
ATOMIC_POSITIONS crystal
Th 0.7500 0.7500 0.7500
Li 0.0000 0.0000 0.0000
Al 0.5000 0.5000 0.5000
Ac 0.2500 0.2500 0.2500
! DFT formation energy	-0.08	eV per formula unit
! raw total energy	-4.316	eV/atom
! M_tot	0.00	μB/f.u.